Computed, not measured: a relaxed structure of LaTbCeHo at the PBE-GGA level of DFT.

Cell lengths 5.7278, 5.7278, 5.7278 Å; angles 60.00, 60.00, 60.00 degrees
Site moments in Bohr magnetons follow the coordinates.
Atoms (fractional coordinates):
1 Tb 0.0000 0.0000 0.0000  0.00
2 Ho 0.5000 0.5000 0.5000  0.00
3 Ce 0.7500 0.7500 0.7500  0.65
4 La 0.2500 0.2500 0.2500  -0.01

## Properties
Uncorrected energy ... -19.4 eV per cell
Space-group type ... F-43m, No. 216
Volume ... 132.9 Å³/f.u.
Formation energy from the elements ... 0.17 eV/atom
M_tot ... 0.72 μB per formula unit